Entry 1:
Here is a geometry-optimized ZnSi2W structure from Alexandria via LeMat-Bulk. Energies are from GGA-PBE.

The structure belongs to space group Immm (No. 71); the cell edges are 3.425, 4.280 and 7.709 Å and the angles 90.00°, 90.00° and 90.00°. The asymmetric unit holds Zn at (0.000, 0.000, 0.000), Si at (0.000, 0.500, 0.257) and W at (0.000, 0.000, 0.500).

Its energy is -6.11 eV per atom. The crystal system is orthorhombic. The calculation puts the density of states at the Fermi level at 3.8 states/eV per cell. The calculation puts the formation energy without anion corrections at 0.160 eV/atom. As for the total magnetization: 0.000 μB/cell.

---

Entry 2:
Here is a geometry-optimized ZnSiW2 structure from Alexandria via LeMat-Bulk. Energies are from GGA-PBE.

The structure belongs to space group Immm (No. 71); the cell edges are 3.175, 4.508 and 8.386 Å and the angles 90.00°, 90.00° and 90.00°. The asymmetric unit holds Zn at (0.000, 0.000, 0.000), Si at (0.000, 0.000, 0.500) and W at (0.000, 0.500, 0.240).

Its energy is -7.92 eV per atom. The crystal system is orthorhombic. The calculation puts the density of states at the Fermi level at 4.6 states/eV per cell. The calculation puts the formation energy without anion corrections at 0.234 eV/atom. The value obtained for the energy relative to the lowest polymorph listed for this composition is 119 meV/atom. As for the total magnetization: 0.000 μB/cell.

---

Entry 3:
Here is a geometry-optimized ZnSiW2 structure from Alexandria via LeMat-Bulk. Energies are from GGA-PBE.

The structure belongs to space group Cmm2 (No. 35); the cell edges are 3.320, 4.355 and 8.682 Å and the angles 90.00°, 90.00° and 90.00°. The asymmetric unit holds Zn at (0.000, 0.000, 0.000), Si at (0.000, 0.500, 0.270), W at (0.000, 0.000, 0.499) and W at (0.000, 0.500, 0.753).

Its energy is -7.89 eV per atom. The crystal system is orthorhombic. The calculation puts the density of states at the Fermi level at 4.4 states/eV per cell. The calculation puts the formation energy without anion corrections at 0.265 eV/atom. The value obtained for the energy relative to the lowest polymorph listed for this composition is 150 meV/atom. As for the total magnetization: 0.000 μB/cell.

---

Entry 4:
Here is a geometry-optimized ZnSi2W structure from Alexandria via LeMat-Bulk. Energies are from GGA-PBE.

The structure belongs to space group Pmmm (No. 47); the cell edges are 3.065, 4.181 and 4.529 Å and the angles 90.00°, 90.00° and 90.00°. The asymmetric unit holds Zn at (0.000, 0.000, 0.000), Si at (0.000, 0.500, 0.500), Si at (0.500, 0.500, 0.000) and W at (0.500, 0.000, 0.500).

Its energy is -5.84 eV per atom. The crystal system is orthorhombic. The calculation puts the density of states at the Fermi level at 3.0 states/eV per cell. The calculation puts the formation energy without anion corrections at 0.425 eV/atom. As for the total magnetization: 0.000 μB/cell.

---

Entry 5:
Here is a geometry-optimized ZnSi2W structure from Alexandria via LeMat-Bulk. Energies are from GGA-PBE.

The structure belongs to space group Cmm2 (No. 35); the cell edges are 3.393, 4.319 and 8.110 Å and the angles 90.00°, 90.00° and 90.00°. The asymmetric unit holds Zn at (0.000, 0.000, 0.000), Si at (0.000, 0.000, 0.498), Si at (0.000, 0.500, 0.253) and W at (0.000, 0.500, 0.738).

Its energy is -5.93 eV per atom. The crystal system is orthorhombic. The calculation puts the density of states at the Fermi level at 3.2 states/eV per cell. The calculation puts the formation energy without anion corrections at 0.335 eV/atom. As for the total magnetization: 0.000 μB/cell.

---

Entry 6:
Here is a geometry-optimized ZnSi2W structure from Alexandria via LeMat-Bulk. Energies are from GGA-PBE.

The structure belongs to space group P4mm (No. 99); the cell edges are 2.728, 2.728 and 7.931 Å and the angles 90.00°, 90.00° and 90.00°. The asymmetric unit holds Zn at (0.000, 0.000, 0.000), Si at (0.000, 0.000, 0.498), Si at (0.500, 0.500, 0.253) and W at (0.500, 0.500, 0.740).

Its energy is -5.89 eV per atom. The crystal system is tetragonal. The calculation puts the density of states at the Fermi level at 2.3 states/eV per cell. The calculation puts the formation energy without anion corrections at 0.379 eV/atom. As for the total magnetization: 0.000 μB/cell.

---

Entry 7:
Here is a geometry-optimized ZnSiW2 structure from Alexandria via LeMat-Bulk. Energies are from GGA-PBE.

The structure belongs to space group P4/mmm (No. 123); the cell edges are 4.600, 4.600 and 2.753 Å and the angles 90.00°, 90.00° and 90.00°. The asymmetric unit holds Zn at (0.000, 0.000, 0.000), Si at (0.500, 0.500, 0.000) and W at (0.000, 0.500, 0.500).

Its energy is -7.83 eV per atom. The crystal system is tetragonal. The calculation puts the density of states at the Fermi level at 3.2 states/eV per cell. The calculation puts the formation energy without anion corrections at 0.323 eV/atom. The value obtained for the energy relative to the lowest polymorph listed for this composition is 208 meV/atom. As for the total magnetization: 0.000 μB/cell.

---

Entry 8:
Here is a geometry-optimized ZnSiW2 structure from Alexandria via LeMat-Bulk. Energies are from GGA-PBE.

The structure belongs to space group P4mm (No. 99); the cell edges are 3.283, 3.283 and 5.550 Å and the angles 90.00°, 90.00° and 90.00°. The asymmetric unit holds Zn at (0.000, 0.000, 0.000), Si at (0.500, 0.500, 0.232), W at (0.000, 0.000, 0.492) and W at (0.500, 0.500, 0.741).

Its energy is -8.04 eV per atom. The crystal system is tetragonal. The calculation puts the density of states at the Fermi level at 1.9 states/eV per cell. The calculation puts the formation energy without anion corrections at 0.115 eV/atom. The value obtained for the energy relative to the lowest polymorph listed for this composition is 0 meV/atom. As for the total magnetization: 0.000 μB/cell.

---

no.,calculated density (Mg/m³)
1,9.0
2,12.8
3,12.2
4,8.7
5,8.5
6,8.6
7,13.1
8,12.8